Entry 1:
Pu2Mn3Fe: optimized geometry, PBE.

**ΔE_f**: 0.01 eV per atom
**Calculated total energy**: -10.759 eV/atom

a = 4.9195 Å, b = 4.9195 Å, c = 4.9127 Å
α = 115.36°, β = 115.36°, γ = 64.51°
With the nearest neighbours (Å) after each atom.
Positions (direct):
Pu1 0.1287 0.1287 0.3715  9 Mn 2.82-3.03, 1 Pu 2.99, 3 Fe 3.06-3.07
Pu2 0.8713 0.8713 0.6285  9 Mn 2.82-3.03, 1 Pu 2.99, 3 Fe 3.06-3.07
Mn1 0.0000 0.5000 0.0000  2 Fe 2.46, 4 Mn 2.63
Mn2 0.5000 0.0000 0.0000  2 Fe 2.46, 4 Mn 2.63
Mn3 0.5000 0.5000 0.5000  2 Fe 2.46, 4 Mn 2.63
Fe1 0.5000 0.5000 0.0000  6 Mn 2.46

=====

Entry 2:
Pu8Mn5Fe: optimized geometry, PBE.

**ΔE_f**: 0.24 eV per atom
**Calculated total energy**: -11.829 eV/atom

a = 6.9149 Å, b = 6.9149 Å, c = 6.9149 Å
α = 113.44°, β = 113.44°, γ = 101.80°
With the nearest neighbours (Å) after each atom.
Positions (direct):
Pu1 0.2311 0.4083 0.5807  3 Mn 2.46-2.51
Pu2 0.3497 0.7689 0.1772  3 Mn 2.46-2.51
Pu3 0.3567 0.2260 0.2351  1 Fe 2.53, 1 Pu 2.79
Pu4 0.5917 0.1724 0.8228  3 Mn 2.46-2.51
Pu5 0.7740 0.0091 0.1307  1 Fe 2.53, 1 Pu 2.79
Pu6 0.8276 0.6503 0.4193  3 Mn 2.46-2.51
Pu7 0.8784 0.6433 0.8693  1 Fe 2.53, 1 Pu 2.79
Pu8 0.9909 0.1216 0.7649  1 Fe 2.53, 1 Pu 2.79
Mn1 0.0551 0.4905 0.2460  2 Pu 2.50-2.51, 2 Mn 2.65
Mn2 0.1910 0.9449 0.4354  2 Pu 2.50-2.51, 2 Mn 2.65
Mn3 0.2445 0.8090 0.7540  2 Pu 2.50-2.51, 2 Mn 2.65
Mn4 0.5000 0.5000 0.0000  4 Pu 2.46
Mn5 0.5095 0.7555 0.5646  2 Pu 2.50-2.51, 2 Mn 2.65
Fe1 0.7500 0.2500 0.5000  4 Pu 2.53

=====

Entry 3:
PuMnFe2: optimized geometry, PBE.

**ΔE_f**: 0.08 eV per atom
**Calculated total energy**: -10.023 eV/atom

a = 4.3211 Å, b = 4.3211 Å, c = 4.3211 Å
α = 60.00°, β = 60.00°, γ = 60.00°
With the nearest neighbours (Å) after each atom.
Positions (direct):
Pu1 0.0000 0.0000 0.0000  8 Fe 2.65
Mn1 0.5000 0.5000 0.5000  8 Fe 2.65
Fe1 0.2500 0.2500 0.2500  4 Mn 2.65, 4 Pu 2.65
Fe2 0.7500 0.7500 0.7500  4 Mn 2.65, 4 Pu 2.65

=====

Entry 4:
PuMnFe: optimized geometry, PBE.

**ΔE_f**: 0.17 eV per atom
**Energy above the lowest structure with this stoichiometry**: 212 meV/atom
**Calculated total energy**: -10.486 eV/atom

a = 4.5121 Å, b = 4.5121 Å, c = 4.5121 Å
α = 134.23°, β = 134.23°, γ = 66.73°
With the nearest neighbours (Å) after each atom.
Positions (direct):
Pu1 0.0000 0.0000 0.0000  1 Mn 2.31, 1 Fe 2.39
Mn1 0.6939 0.6939 0.0000  1 Pu 2.31
Fe1 0.3177 0.3177 0.0000  1 Pu 2.39, 4 Mn 2.65

=====

Entry 5:
PuMnFe: optimized geometry, PBE.

**ΔE_f**: 0.50 eV per atom
**Energy above the lowest structure with this stoichiometry**: 542 meV/atom
**Calculated total energy**: -10.156 eV/atom

a = 4.4951 Å, b = 4.4951 Å, c = 2.3478 Å
α = 90.00°, β = 90.00°, γ = 120.00°
With the nearest neighbours (Å) after each atom.
Positions (direct):
Pu1 0.0000 0.0000 0.0000  2 Pu 2.35
Mn1 0.6667 0.3333 0.5042  2 Mn 2.35, 3 Fe 2.60
Fe1 0.3333 0.6667 0.5022  2 Fe 2.35, 3 Mn 2.60

=====

Entry 6:
Pu2MnFe: optimized geometry, PBE.

**ΔE_f**: 0.09 eV per atom
**Calculated total energy**: -11.485 eV/atom

a = 3.3497 Å, b = 3.3497 Å, c = 6.5976 Å
α = 90.00°, β = 90.00°, γ = 90.00°
With the nearest neighbours (Å) after each atom.
Positions (direct):
Pu1 0.0000 0.0000 0.2454  4 Fe 2.87, 4 Mn 2.90
Pu2 0.0000 0.0000 0.7546  4 Fe 2.87, 4 Mn 2.90
Mn1 0.5000 0.5000 0.5000  8 Pu 2.90
Fe1 0.5000 0.5000 0.0000  8 Pu 2.87

=====

Entry 7:
PuMnFe2: optimized geometry, PBE.

**ΔE_f**: 0.25 eV per atom
**Calculated total energy**: -9.859 eV/atom

a = 2.4826 Å, b = 2.4826 Å, c = 8.3193 Å
α = 90.00°, β = 90.00°, γ = 90.00°
With the nearest neighbours (Å) after each atom.
Positions (direct):
Pu1 0.0000 0.0000 0.0000  4 Pu 2.48
Mn1 0.0000 0.0000 0.5000  8 Fe 2.47, 4 Mn 2.48
Fe1 0.5000 0.5000 0.2904  4 Mn 2.47, 4 Fe 2.48
Fe2 0.5000 0.5000 0.7096  4 Mn 2.47, 4 Fe 2.48

=====

Entry 8:
PuMnFe: optimized geometry, PBE.

**ΔE_f**: -0.04 eV per atom
**Energy above the lowest structure with this stoichiometry**: 0 meV/atom
**Calculated total energy**: -10.698 eV/atom

a = 4.9667 Å, b = 4.9667 Å, c = 4.9667 Å
α = 117.68°, β = 111.55°, γ = 99.68°
With the nearest neighbours (Å) after each atom.
Positions (direct):
Pu1 0.3681 0.1181 0.2500  2 Fe 2.69, 2 Mn 2.82
Pu2 0.6319 0.8819 0.7500  2 Fe 2.69, 2 Mn 2.82
Mn1 0.0000 0.5000 0.5000  4 Fe 2.48
Mn2 0.5000 0.5000 0.0000  4 Fe 2.48
Fe1 0.0000 0.0000 0.5000  4 Mn 2.48, 2 Fe 2.57, 2 Pu 2.69
Fe2 0.0000 0.5000 0.0000  4 Mn 2.48, 2 Fe 2.57, 2 Pu 2.69